A plane-wave DFT calculation with GGA-PBE was carried out for a relaxed LaCoPb2 crystal.

```
4
Lattice="8.556 -0.087 -0.052 7.692 3.748 -0.052 7.692 1.733 3.324" Properties=species:S:1:pos:R:3 pbc="T T T"
Co 12.013 2.707 1.616
La 18.601 4.191 2.502
Pb 23.805 5.364 3.202
Pb 5.431 1.224 0.730
```

Output
Its volume is 110 Å³/cell. For the density of states at the Fermi level, the calculation gives 0.78 states/eV/atom. As for the space group: No. 160. For the offset from the most stable computed form, the calculation gives 0.2509 eV/atom. The formation energy is 0.303 eV per formula unit. As for the electronic total energy: -4.787 eV per atom.